Record 1
Below is a relaxed LiMnVO4 crystal, with properties calculated at the GGA-PBEsol level.

a = 10.3723 Å, b = 6.1149 Å, c = 4.8869 Å
α = 90.00°, β = 90.00°, γ = 90.00°
Last column: nearest neighbours and their distance in Å.
Space group Pnma (No. 62)
Asymmetric unit:
1 Li 0.0000 0.0000 0.0000 x4  6 O 2.11-2.20
2 Mn 0.2289 0.2500 0.4799 x4  6 O 2.04-2.28
3 V 0.0896 0.7500 0.4273 x4  4 O 1.72-1.73
4 O 0.0634 0.2500 0.7068 x4  1 V 1.72
5 O 0.0948 0.7500 0.7816 x4  1 V 1.73
6 O 0.1650 0.5267 0.2781 x8  1 V 1.73

Computed properties:
V, A^3/atom: 11.070
Raw formation energy, eV per atom: -2.08
M_tot, μB/atom: 0.714
Excess energy over the best structure of this formula in the dataset, meV per atom: 17

=====

Record 2
Below is a relaxed Sm4CdPd crystal, with properties calculated at the GGA-PBEsol level.

a = 13.7151 Å, b = 13.7151 Å, c = 13.7151 Å
α = 90.00°, β = 90.00°, γ = 90.00°
Last column: nearest neighbours and their distance in Å.
Space group F-43m (No. 216)
Asymmetric unit:
1 Sm 0.0000 0.0000 0.1853 x24  2 Cd 3.30, 2 Pd 3.52, 10 Sm 3.52-3.63
2 Sm 0.0578 0.2500 0.7500 x24  2 Pd 2.87
3 Sm 0.1026 0.1026 0.3974 x16  3 Pd 2.86
4 Cd 0.1696 0.1696 0.1696 x16  3 Cd 3.12, 9 Sm 3.30-3.49
5 Pd 0.1058 0.1058 0.6058 x16  6 Sm 2.86-2.87

Computed properties:
Energy of formation from the pure elements, kJ/mol of atoms: -40.0
V, A^3/atom: 26.873
M_tot, μB/atom: 0.000
Fermi-level density of states, states/eV/f.u.: 4.4